Computed, not measured: crystalline FeNi2OsO6 at its relaxed geometry at the PBE+U level of DFT.

```
10
Lattice="-0.057 3.288 3.145 -3.835 2.606 -2.793 -3.819 -2.686 2.739" Properties=species:S:1:pos:R:3 pbc="T T T"
Fe -3.861 1.939 1.866
Ni -1.969 4.286 1.457
Ni -1.961 1.640 4.223
Os -0.034 1.989 1.903
O -1.895 2.440 2.339
O -3.865 1.054 3.752
O -3.839 0.653 0.635
O -0.013 0.732 0.701
O -5.844 2.399 2.312
O -3.874 3.784 0.899
```

Computed properties:
Symmetry: P4mm, No. 99
VASP energy (eV per atom): -5.8435
Size of the total moment (Bohr magnetons per cell): 8.00
DOS(E_F) (states/eV per atom): 0.487